Record 1
A plane-wave DFT calculation with PBE was carried out for an optimized crystal structure of NpNi4As2.

a b c (Å): 7.2253 7.2253 3.7990
angles (deg): 90.00 90.00 90.00
Last column: magnetic moment on the atom in μB.
Fractional coordinates of all 14 atoms:
As 0.7163 0.2837 0.0000  -0.03
As 0.2837 0.7163 0.0000  -0.03
As 0.2163 0.2163 0.5000  -0.03
As 0.7837 0.7837 0.5000  -0.03
Ni 0.4083 0.1510 0.0000  -0.09
Ni 0.1510 0.4083 0.0000  -0.07
Ni 0.8490 0.5917 0.0000  -0.07
Ni 0.5917 0.8490 0.0000  -0.09
Ni 0.6510 0.0917 0.5000  -0.06
Ni 0.9083 0.3490 0.5000  -0.07
Ni 0.0917 0.6510 0.5000  -0.07
Ni 0.3490 0.9083 0.5000  -0.06
Np 0.0000 0.0000 0.0000  3.46
Np 0.5000 0.5000 0.5000  3.50

Calculated values
volume = 14.17 A^3/atom
M_tot = 0.469 μB/atom
space group = No. 136
calculated density = 10.4 g/cm³
raw total energy = -94.89 eV for the cell shown

=====

Record 2
A plane-wave DFT calculation with PBE was carried out for an optimized crystal structure of RbHf3Pb5.

a b c (Å): 6.1349 6.1349 8.1304
angles (deg): 90.00 90.00 120.00
Fractional coordinates of all 9 atoms:
Hf 0.5000 0.0000 0.5000
Hf 0.0000 0.5000 0.5000
Hf 0.5000 0.5000 0.5000
Pb 0.6667 0.3333 0.1906
Pb 0.3333 0.6667 0.1906
Pb 0.0000 0.0000 0.5000
Pb 0.6667 0.3333 0.8094
Pb 0.3333 0.6667 0.8094
Rb 0.0000 0.0000 0.0000

Calculated values
volume = 29.45 A^3/atom
M_tot = 0.002 μB/atom
space group = No. 191
calculated density = 10.4 g/cm³
raw total energy = -49.01 eV for the cell shown

=====

Record 3
A plane-wave DFT calculation with PBE was carried out for an optimized crystal structure of Mg4Ga2IrPt.

a b c (Å): 4.3845 4.3845 8.6022
angles (deg): 90.00 90.00 120.00
Fractional coordinates of all 8 atoms:
Ga 0.6667 0.3333 0.0000
Ga 0.6667 0.3333 0.5000
Ir 0.0000 0.0000 0.0000
Mg 0.3333 0.6667 0.1663
Mg 0.0000 0.0000 0.3288
Mg 0.0000 0.0000 0.6712
Mg 0.3333 0.6667 0.8337
Pt 0.3333 0.6667 0.5000

Calculated values
volume = 17.90 A^3/atom
M_tot = 0.001 μB/atom
space group = No. 187
calculated density = 7.2 g/cm³
raw total energy = -31.67 eV for the cell shown

=====

Record 4
A plane-wave DFT calculation with PBE was carried out for an optimized crystal structure of LiTbCdTe3.

a b c (Å): 4.3341 12.6834 13.8346
angles (deg): 90.00 90.00 90.00
Fractional coordinates of all 24 atoms:
Cd 0.7500 0.2832 0.2329
Cd 0.2500 0.7832 0.2671
Cd 0.7500 0.2168 0.7329
Cd 0.2500 0.7168 0.7671
Li 0.7500 0.0176 0.1107
Li 0.2500 0.5176 0.3893
Li 0.7500 0.4824 0.6107
Li 0.2500 0.9824 0.8893
Tb 0.7500 0.6725 0.0571
Tb 0.2500 0.1725 0.4429
Tb 0.7500 0.8275 0.5571
Tb 0.2500 0.3275 0.9429
Te 0.2500 0.8550 0.0688
Te 0.7500 0.4199 0.0764
Te 0.2500 0.1355 0.2247
Te 0.7500 0.6355 0.2753
Te 0.2500 0.9199 0.4236
Te 0.7500 0.3550 0.4312
Te 0.2500 0.6450 0.5688
Te 0.7500 0.0801 0.5764
Te 0.2500 0.3645 0.7247
Te 0.7500 0.8645 0.7753
Te 0.2500 0.5801 0.9236
Te 0.7500 0.1450 0.9312

Calculated values
volume = 31.69 A^3/atom
M_tot = 0.000 μB/atom
space group = No. 62
calculated density = 5.8 g/cm³
raw total energy = -89.24 eV for the cell shown

=====

Record 5
A plane-wave DFT calculation with PBE was carried out for an optimized crystal structure of YFeGe2Pd.

a b c (Å): 5.8801 5.8801 5.8801
angles (deg): 138.49 138.49 60.16
Last column: magnetic moment on the atom in μB.
Fractional coordinates of all 5 atoms:
Fe 0.0000 0.0000 0.0000  2.05
Ge 0.6267 0.1267 0.5000  -0.04
Ge 0.8733 0.3733 0.5000  -0.03
Pd 0.5000 0.5000 0.0000  0.05
Y 0.2500 0.7500 0.5000  0.02

Calculated values
volume = 17.68 A^3/atom
M_tot = 0.416 μB/atom
space group = No. 119
calculated density = 7.4 g/cm³
raw total energy = -32.20 eV for the cell shown

=====

Record 6
A plane-wave DFT calculation with PBE was carried out for an optimized crystal structure of La2SmZn2Si4Au2.

a b c (Å): 12.9313 12.9313 12.9313
angles (deg): 161.12 160.85 27.02
Fractional coordinates of all 11 atoms:
Au 0.9055 0.4055 0.5000
Au 0.0945 0.5945 0.5000
La 0.6484 0.1484 0.5000
La 0.3516 0.8516 0.5000
Si 0.4532 0.4532 0.0000
Si 0.5468 0.5468 0.0000
Si 0.8063 0.3063 0.5000
Si 0.1937 0.6937 0.5000
Sm 0.0000 0.0000 0.0000
Zn 0.2496 0.2496 0.0000
Zn 0.7504 0.7504 0.0000

Calculated values
volume = 20.86 A^3/atom
M_tot = 0.001 μB/atom
space group = No. 71
calculated density = 7.7 g/cm³
raw total energy = -53.03 eV for the cell shown